DFT (GGA-PBE) results for an optimized crystal structure of Cs2BaSb6.

Crystal system: orthorhombic
Formation energy (no corrections) in kJ/mol of formula units: -281.3
DFT total energy in eV/f.u.: -31.28
DOS at the Fermi energy in states/eV per cell: 4.4
Mass density in g cm⁻³: 5.13

The structure in POSCAR format:
```
Cs2BaSb6
1.0
-2.188 6.321 6.636
2.188 -6.321 6.636
2.188 6.321 -6.636
Cs Ba Sb
2 1 6
Direct
0.150 0.150 0.000 Cs
0.850 0.850 0.000 Cs
0.500 0.500 0.000 Ba
0.098 0.332 0.765 Sb
0.270 0.000 0.270 Sb
0.433 0.668 0.765 Sb
0.567 0.332 0.235 Sb
0.730 0.000 0.730 Sb
0.902 0.668 0.235 Sb
```